## ZnOs2Pb (PBE)

Data for a relaxed structure of ZnOs2Pb.

```
data_ZnOs2Pb
_cell_length_a 6.4013
_cell_length_b 6.4013
_cell_length_c 6.4013
_cell_angle_alpha 90.00
_cell_angle_beta 90.00
_cell_angle_gamma 90.00
_space_group_name_H-M_alt 'F m -3 m'
_space_group_IT_number 225
_space_group_name_Hall '-F 4 2 3'
loop_
_atom_site_label
_atom_site_type_symbol
_atom_site_fract_x
_atom_site_fract_y
_atom_site_fract_z
Zn1 Zn 0.0000 0.0000 0.0000
Os1 Os 0.2500 0.2500 0.2500
Pb1 Pb 0.0000 0.0000 0.5000
```

Summary:
Energy relative to the lowest polymorph listed for this composition ... 491 meV/atom
ΔE_f ... 0.853 eV per atom

=====

## ZnOsPb3 (PBE)

Data for a relaxed structure of ZnOsPb3.

```
data_ZnOsPb3
_cell_length_a 5.3069
_cell_length_b 5.3069
_cell_length_c 5.3069
_cell_angle_alpha 90.00
_cell_angle_beta 90.00
_cell_angle_gamma 90.00
_space_group_name_H-M_alt 'P m -3 m'
_space_group_IT_number 221
_space_group_name_Hall '-P 4 2 3'
loop_
_atom_site_label
_atom_site_type_symbol
_atom_site_fract_x
_atom_site_fract_y
_atom_site_fract_z
Zn1 Zn 0.0000 0.0000 0.0000
Os1 Os 0.5000 0.5000 0.5000
Pb1 Pb 0.0000 0.5000 0.5000
```

Summary:
Energy relative to the lowest polymorph listed for this composition ... 0 meV/atom
ΔE_f ... 0.582 eV per atom

=====

## ZnOs2Pb (PBE)

Data for a relaxed structure of ZnOs2Pb.

```
data_ZnOs2Pb
_cell_length_a 2.9306
_cell_length_b 4.9032
_cell_length_c 9.7184
_cell_angle_alpha 90.00
_cell_angle_beta 90.00
_cell_angle_gamma 90.00
_space_group_name_H-M_alt 'C m m m'
_space_group_IT_number 65
_space_group_name_Hall '-C 2 2'
loop_
_atom_site_label
_atom_site_type_symbol
_atom_site_fract_x
_atom_site_fract_y
_atom_site_fract_z
Zn1 Zn 0.0000 0.0000 0.0000
Os1 Os 0.0000 0.5000 0.2197
Pb1 Pb 0.0000 0.0000 0.5000
```

Summary:
Energy relative to the lowest polymorph listed for this composition ... 603 meV/atom
ΔE_f ... 0.964 eV per atom

=====

## ZnOs2Pb (PBE)

Data for a relaxed structure of ZnOs2Pb.

```
data_ZnOs2Pb
_cell_length_a 4.1613
_cell_length_b 4.1613
_cell_length_c 18.5134
_cell_angle_alpha 90.00
_cell_angle_beta 90.00
_cell_angle_gamma 90.00
_space_group_name_H-M_alt 'I -4 2 d'
_space_group_IT_number 122
_space_group_name_Hall 'I -4 2bw'
loop_
_atom_site_label
_atom_site_type_symbol
_atom_site_fract_x
_atom_site_fract_y
_atom_site_fract_z
Zn1 Zn 0.0000 0.0000 0.0000
Os1 Os 0.1442 0.2500 0.1250
Pb1 Pb 0.0000 0.0000 0.5000
```

Summary:
Energy relative to the lowest polymorph listed for this composition ... 460 meV/atom
ΔE_f ... 0.821 eV per atom

=====

## ZnOs2Pb (PBE)

Data for a relaxed structure of ZnOs2Pb.

```
data_ZnOs2Pb
_cell_length_a 3.2261
_cell_length_b 3.2261
_cell_length_c 6.3507
_cell_angle_alpha 90.00
_cell_angle_beta 90.00
_cell_angle_gamma 90.00
_space_group_name_H-M_alt 'P 4/m m m'
_space_group_IT_number 123
_space_group_name_Hall '-P 4 2'
loop_
_atom_site_label
_atom_site_type_symbol
_atom_site_fract_x
_atom_site_fract_y
_atom_site_fract_z
Zn1 Zn 0.0000 0.0000 0.0000
Os1 Os 0.5000 0.5000 0.2153
Pb1 Pb 0.0000 0.0000 0.5000
```

Summary:
Energy relative to the lowest polymorph listed for this composition ... 477 meV/atom
ΔE_f ... 0.839 eV per atom

=====

## ZnOs2Pb (PBE)

Data for a relaxed structure of ZnOs2Pb.

```
data_ZnOs2Pb
_cell_length_a 4.1080
_cell_length_b 4.1080
_cell_length_c 7.8486
_cell_angle_alpha 90.00
_cell_angle_beta 90.00
_cell_angle_gamma 90.00
_space_group_name_H-M_alt 'I 4/m m m'
_space_group_IT_number 139
_space_group_name_Hall '-I 4 2'
loop_
_atom_site_label
_atom_site_type_symbol
_atom_site_fract_x
_atom_site_fract_y
_atom_site_fract_z
Zn1 Zn 0.0000 0.0000 0.0000
Os1 Os 0.0000 0.5000 0.2500
Pb1 Pb 0.0000 0.0000 0.5000
```

Summary:
Energy relative to the lowest polymorph listed for this composition ... 563 meV/atom
ΔE_f ... 0.925 eV per atom

=====

## ZnOs2Pb (PBE)

Data for a relaxed structure of ZnOs2Pb.

```
data_ZnOs2Pb
_cell_length_a 2.8848
_cell_length_b 2.8848
_cell_length_c 28.7732
_cell_angle_alpha 90.00
_cell_angle_beta 90.00
_cell_angle_gamma 120.00
_space_group_name_H-M_alt 'R -3 m'
_space_group_IT_number 166
_space_group_name_Hall '-R 3 2"'
loop_
_atom_site_label
_atom_site_type_symbol
_atom_site_fract_x
_atom_site_fract_y
_atom_site_fract_z
Zn1 Zn 0.0000 0.0000 0.0000
Os1 Os 0.0000 0.0000 0.2612
Pb1 Pb 0.0000 0.0000 0.5000
```

Summary:
Energy relative to the lowest polymorph listed for this composition ... 528 meV/atom
ΔE_f ... 0.889 eV per atom

=====

## ZnOsPb (PBE)

Data for a relaxed structure of ZnOsPb.

```
data_ZnOsPb
_cell_length_a 3.3107
_cell_length_b 5.0266
_cell_length_c 14.3949
_cell_angle_alpha 90.00
_cell_angle_beta 90.00
_cell_angle_gamma 90.00
_space_group_name_H-M_alt 'F m m 2'
_space_group_IT_number 42
_space_group_name_Hall 'F 2 -2'
loop_
_atom_site_label
_atom_site_type_symbol
_atom_site_fract_x
_atom_site_fract_y
_atom_site_fract_z
Zn1 Zn 0.0000 0.0000 0.0000
Os1 Os 0.0000 0.0000 0.3667
Pb1 Pb 0.0000 0.0000 0.7057
```

Summary:
Energy relative to the lowest polymorph listed for this composition ... 275 meV/atom
ΔE_f ... 0.813 eV per atom

=====

Question: The highest energy relative to the lowest polymorph listed for this composition belongs to which entry?
Answer: number 3